## Dy2PuFeO8 (PBE with a Hubbard U)

Data for an optimized crystal structure of Dy2PuFeO8.

a = 4.9674 Å, b = 6.8020 Å, c = 4.9677 Å
α = 90.00°, β = 93.17°, γ = 90.00°
Last column: nearest neighbours and their distance in Å.
Space group P2/m (No. 10)
Unique sites:
Dy  0.0000  0.2379  0.0000 x2  6 O 2.20-2.31
Pu  0.5000  0.5000  0.5000 x1  6 O 1.99-2.04
Fe  0.5000  0.0000  0.5000 x1  2 O 1.92
O  0.2076  0.5000  0.2100 x2  1 Pu 1.99
O  0.2187  0.0000  0.2199 x2  1 Fe 1.92
O  0.3203  0.2684  0.6818 x4  1 Pu 2.04, 1 Fe 2.24

V = 14.0 Å³/atom
Energy = -100.03 eV for the cell shown